[1]
# Pm4Cd5Rh2 PBE-GGA optimized geometry
data_Pm4Cd5Rh2
_chemical_formula_sum 'Pm4 Cd5 Rh2'
_symmetry_space_group_name_H-M 'P 1 2/m 1'
_symmetry_Int_Tables_number 10
_cell_length_a 7.791
_cell_length_b 3.740
_cell_length_c 9.675
_cell_angle_alpha 90.00
_cell_angle_beta 94.25
_cell_angle_gamma 90.00
loop_
_symmetry_equiv_pos_as_xyz
'x,y,z'
'-x,-y,-z'
'-x,y,-z'
'x,-y,z'
loop_
_atom_site_label
_atom_site_fract_x
_atom_site_fract_y
_atom_site_fract_z
_atom_site_occupancy
Pm1 0.171 0.000 0.350 1
Pm2 0.220 0.000 0.946 1
Cd1 0.185 0.500 0.652 1
Cd2 0.453 0.500 0.178 1
Cd3 0.500 0.500 0.500 1
Rh1 0.074 0.500 0.143 1
# uncorrected energy	-3.952	eV per atom
# E_form	-5.2	eV per formula unit

[2]
# PmCd11Rh PBE-GGA optimized geometry
data_PmCd11Rh
_chemical_formula_sum 'Pm2 Cd22 Rh2'
_symmetry_space_group_name_H-M 'C 1 2/m 1'
_symmetry_Int_Tables_number 12
_cell_length_a 5.665
_cell_length_b 14.291
_cell_length_c 7.611
_cell_angle_alpha 90.00
_cell_angle_beta 111.74
_cell_angle_gamma 90.00
loop_
_symmetry_equiv_pos_as_xyz
'x,y,z'
'-x,-y,-z'
'-x,y,-z'
'x,-y,z'
'x+1/2,y+1/2,z'
'-x+1/2,-y+1/2,-z'
'-x+1/2,y+1/2,-z'
'x+1/2,-y+1/2,z'
loop_
_atom_site_label
_atom_site_fract_x
_atom_site_fract_y
_atom_site_fract_z
_atom_site_occupancy
Pm1 0.000 0.000 0.000 1
Cd1 0.000 0.000 0.500 1
Cd2 0.098 0.397 0.215 1
Cd3 0.195 0.168 0.358 1
Cd4 0.250 0.250 0.000 1
Rh1 0.000 0.500 0.500 1
# uncorrected energy	-1.845	eV per atom
# E_form	-1.8	eV per formula unit

[3]
# Pm4CdRh PBE-GGA optimized geometry
data_Pm4CdRh
_chemical_formula_sum 'Pm64 Cd16 Rh16'
_symmetry_space_group_name_H-M 'F -4 3 m'
_symmetry_Int_Tables_number 216
_symmetry_space_group_name_Hall 'F -4 2 3'
_cell_length_a 13.951
_cell_length_b 13.951
_cell_length_c 13.951
_cell_angle_alpha 90.00
_cell_angle_beta 90.00
_cell_angle_gamma 90.00
loop_
_atom_site_label
_atom_site_fract_x
_atom_site_fract_y
_atom_site_fract_z
_atom_site_occupancy
Pm1 0.000 0.000 0.187 1
Pm2 0.060 0.250 0.750 1
Pm3 0.099 0.099 0.401 1
Cd1 0.170 0.170 0.170 1
Rh1 0.108 0.108 0.608 1
# uncorrected energy	-4.988	eV per atom
# E_form	-2.7	eV per formula unit
# offset from the most stable computed form	0.000	eV per atom

[4]
# PmCdRuRh PBE-GGA optimized geometry
data_PmCdRuRh
_chemical_formula_sum 'Pm4 Cd4 Ru4 Rh4'
_symmetry_space_group_name_H-M 'F -4 3 m'
_symmetry_Int_Tables_number 216
_symmetry_space_group_name_Hall 'F -4 2 3'
_cell_length_a 6.712
_cell_length_b 6.712
_cell_length_c 6.712
_cell_angle_alpha 90.00
_cell_angle_beta 90.00
_cell_angle_gamma 90.00
loop_
_atom_site_label
_atom_site_fract_x
_atom_site_fract_y
_atom_site_fract_z
_atom_site_occupancy
Pm1 0.000 0.000 0.000 1
Cd1 0.000 0.000 0.500 1
Ru1 0.250 0.250 0.750 1
Rh1 0.250 0.250 0.250 1
# uncorrected energy	-5.699	eV per atom
# E_form	-0.5	eV per formula unit

[5]
# Pm5Cd2RuRh2 PBE-GGA optimized geometry
data_Pm5Cd2RuRh2
_chemical_formula_sum 'Pm10 Cd4 Ru2 Rh4'
_symmetry_space_group_name_H-M 'P 4/m b m'
_symmetry_Int_Tables_number 127
_symmetry_space_group_name_Hall '-P 4 2ab'
_cell_length_a 11.819
_cell_length_b 11.819
_cell_length_c 3.638
_cell_angle_alpha 90.00
_cell_angle_beta 90.00
_cell_angle_gamma 90.00
loop_
_atom_site_label
_atom_site_fract_x
_atom_site_fract_y
_atom_site_fract_z
_atom_site_occupancy
Pm1 0.000 0.500 0.000 1
Pm2 0.068 0.194 0.000 1
Cd1 0.180 0.680 0.500 1
Ru1 0.000 0.000 0.500 1
Rh1 0.134 0.366 0.500 1
# uncorrected energy	-5.362	eV per atom
# E_form	-4.1	eV per formula unit

[6]
# Pm2CdSb4Rh3 PBE-GGA optimized geometry
data_Pm2CdSb4Rh3
_chemical_formula_sum 'Pm2 Cd1 Sb4 Rh3'
_symmetry_space_group_name_H-M 'P -4 m 2'
_symmetry_Int_Tables_number 115
_cell_length_a 4.506
_cell_length_b 4.506
_cell_length_c 11.152
_cell_angle_alpha 90.00
_cell_angle_beta 90.00
_cell_angle_gamma 90.00
loop_
_symmetry_equiv_pos_as_xyz
'x,y,z'
'y,-x,-z'
'-x,-y,z'
'-y,x,-z'
'-x,y,z'
'-y,-x,-z'
'x,-y,z'
'y,x,-z'
loop_
_atom_site_label
_atom_site_fract_x
_atom_site_fract_y
_atom_site_fract_z
_atom_site_occupancy
Pm1 0.000 0.500 0.242 1
Cd1 0.000 0.000 0.500 1
Sb1 0.000 0.000 0.000 1
Sb2 0.000 0.500 0.647 1
Sb3 0.500 0.500 0.000 1
Rh1 0.000 0.500 0.878 1
Rh2 0.500 0.500 0.500 1
# uncorrected energy	-5.552	eV per atom

[7]
# PmCdSbRh PBE-GGA optimized geometry
data_PmCdSbRh
_chemical_formula_sum 'Pm4 Cd4 Sb4 Rh4'
_symmetry_space_group_name_H-M 'F -4 3 m'
_symmetry_Int_Tables_number 216
_symmetry_space_group_name_Hall 'F -4 2 3'
_cell_length_a 7.063
_cell_length_b 7.063
_cell_length_c 7.063
_cell_angle_alpha 90.00
_cell_angle_beta 90.00
_cell_angle_gamma 90.00
loop_
_atom_site_label
_atom_site_fract_x
_atom_site_fract_y
_atom_site_fract_z
_atom_site_occupancy
Pm1 0.000 0.000 0.000 1
Cd1 0.250 0.250 0.750 1
Sb1 0.000 0.000 0.500 1
Rh1 0.250 0.250 0.250 1
# uncorrected energy	-4.677	eV per atom

[8]
# PmScCdRh PBE-GGA optimized geometry
data_PmScCdRh
_chemical_formula_sum 'Pm4 Sc4 Cd4 Rh4'
_symmetry_space_group_name_H-M 'F -4 3 m'
_symmetry_Int_Tables_number 216
_symmetry_space_group_name_Hall 'F -4 2 3'
_cell_length_a 7.066
_cell_length_b 7.066
_cell_length_c 7.066
_cell_angle_alpha 90.00
_cell_angle_beta 90.00
_cell_angle_gamma 90.00
loop_
_atom_site_label
_atom_site_fract_x
_atom_site_fract_y
_atom_site_fract_z
_atom_site_occupancy
Pm1 0.000 0.000 0.000 1
Sc1 0.000 0.000 0.500 1
Cd1 0.250 0.250 0.250 1
Rh1 0.250 0.250 0.750 1
# uncorrected energy	-5.293	eV per atom
# E_form	-1.8	eV per formula unit

[9]
# Pm2CdSi2Rh5 PBE-GGA optimized geometry
data_Pm2CdSi2Rh5
_chemical_formula_sum 'Pm4 Cd2 Si4 Rh10'
_symmetry_space_group_name_H-M 'P 4/m b m'
_symmetry_Int_Tables_number 127
_symmetry_space_group_name_Hall '-P 4 2ab'
_cell_length_a 9.989
_cell_length_b 9.989
_cell_length_c 3.504
_cell_angle_alpha 90.00
_cell_angle_beta 90.00
_cell_angle_gamma 90.00
loop_
_atom_site_label
_atom_site_fract_x
_atom_site_fract_y
_atom_site_fract_z
_atom_site_occupancy
Pm1 0.176 0.324 0.000 1
Cd1 0.000 0.000 0.000 1
Si1 0.122 0.622 0.000 1
Rh1 0.000 0.500 0.500 1
Rh2 0.069 0.780 0.500 1
# uncorrected energy	-6.637	eV per atom

[10]
# PmCdSi2Rh5 PBE-GGA optimized geometry
data_PmCdSi2Rh5
_chemical_formula_sum 'Pm1 Cd1 Si2 Rh5'
_symmetry_space_group_name_H-M 'P 4/m m m'
_symmetry_Int_Tables_number 123
_symmetry_space_group_name_Hall '-P 4 2'
_cell_length_a 4.520
_cell_length_b 4.520
_cell_length_c 7.460
_cell_angle_alpha 90.00
_cell_angle_beta 90.00
_cell_angle_gamma 90.00
loop_
_atom_site_label
_atom_site_fract_x
_atom_site_fract_y
_atom_site_fract_z
_atom_site_occupancy
Pm1 0.000 0.000 0.000 1
Cd1 0.000 0.000 0.500 1
Si1 0.500 0.500 0.326 1
Rh1 0.000 0.500 0.270 1
Rh2 0.500 0.500 0.000 1
# uncorrected energy	-6.420	eV per atom